1.
{"formula": "Rb2Cd3Se4", "functional": "SCAN", "state": "single point on PBEsol structure", "lattice_angstrom": [[6.7884, 0.0000, 0.0000], [0.0000, 10.9565, 0.0000], [0.0000, 0.0000, 14.5069]], "species": ["Rb", "Rb", "Rb", "Rb", "Rb", "Rb", "Rb", "Rb", "Cd", "Cd", "Cd", "Cd", "Cd", "Cd", "Cd", "Cd", "Cd", "Cd", "Cd", "Cd", "Se", "Se", "Se", "Se", "Se", "Se", "Se", "Se", "Se", "Se", "Se", "Se", "Se", "Se", "Se", "Se"], "frac_coords": [[0.9762, 0.7500, 0.5388], [0.4762, 0.2500, 0.9612], [0.0238, 0.2500, 0.4612], [0.5238, 0.7500, 0.0388], [0.5000, 0.5000, 0.5000], [0.0000, 0.0000, 0.0000], [0.5000, 0.0000, 0.5000], [0.0000, 0.5000, 0.0000], [0.1861, 0.4053, 0.7555], [0.6861, 0.5947, 0.7445], [0.8139, 0.9053, 0.2445], [0.3139, 0.0947, 0.2555], [0.8139, 0.5947, 0.2445], [0.3139, 0.4053, 0.2555], [0.1861, 0.0947, 0.7555], [0.6861, 0.9053, 0.7445], [0.2459, 0.7500, 0.2959], [0.7459, 0.2500, 0.2041], [0.7541, 0.2500, 0.7041], [0.2541, 0.7500, 0.7959], [0.9063, 0.4628, 0.6360], [0.4063, 0.5372, 0.8640], [0.0937, 0.9628, 0.3640], [0.5937, 0.0372, 0.1360], [0.0937, 0.5372, 0.3640], [0.5937, 0.4628, 0.1360], [0.9063, 0.0372, 0.6360], [0.4063, 0.9628, 0.8640], [0.0412, 0.7500, 0.1392], [0.5412, 0.2500, 0.3608], [0.9588, 0.2500, 0.8608], [0.4588, 0.7500, 0.6392], [0.1100, 0.2500, 0.1499], [0.3900, 0.2500, 0.6499], [0.8900, 0.7500, 0.8501], [0.6100, 0.7500, 0.3501]]}

---

2.
{"formula": "Rb2CdSi", "functional": "SCAN", "state": "single point on PBEsol structure", "lattice_angstrom": [[-3.9049, 3.1378, 3.1987], [-4.8346, 2.2705, -2.6073], [-5.3630, -2.2653, 1.1972]], "species": ["Si", "Rb", "Rb", "Cd"], "frac_coords": [[0.0000, 0.0000, 0.0000], [0.2500, 0.2500, 0.2500], [0.7500, 0.7500, 0.7500], [0.5000, 0.5000, 0.5000]]}

---

3.
{"formula": "Rb3CdSn", "functional": "SCAN", "state": "single point on PBEsol structure", "formation_energy_ev_per_fu": 0.8, "lattice_angstrom": [[-0.0047, 5.6922, 4.0745], [0.5683, -4.0608, 5.6736], [6.9771, 0.3345, -0.4594]], "species": ["Sn", "Rb", "Rb", "Rb", "Cd"], "frac_coords": [[0.0000, 0.0000, 0.0000], [0.0000, 0.5000, 0.0000], [0.0000, 0.0000, 0.5000], [0.5000, 0.0000, 0.0000], [0.5000, 0.5000, 0.5000]]}

---

4.
{"formula": "RbCd2Sn2", "functional": "SCAN", "state": "single point on PBEsol structure", "formation_energy_ev_per_fu": -1.1, "lattice_angstrom": [[4.8797, 0.0000, 0.0000], [0.0000, 4.8797, 0.0000], [-2.4399, -2.4399, 6.0716]], "species": ["Sn", "Sn", "Rb", "Cd", "Cd"], "frac_coords": [[0.3817, 0.3817, 0.7635], [0.6183, 0.6183, 0.2365], [0.0000, 0.0000, 0.0000], [0.2500, 0.7500, 0.5000], [0.7500, 0.2500, 0.5000]]}

---

Listing DOS(E_F) for the structures above in their given order: 0.0, 2.5, 1.9, 1.4 states/eV/cell.
Listing uncorrected energy for the structures above in their given order: -221.9, -80.3, -127.7, -154.5 eV/f.u..